# BeSBrN2 | Alexandria | PBE | optimized geometry
data_BeSBrN2
_cell_length_a 3.6119
_cell_length_b 3.6119
_cell_length_c 7.4239
_cell_angle_alpha 90.00
_cell_angle_beta 90.00
_cell_angle_gamma 90.00
_symmetry_space_group_name_H-M 'P 1'
_symmetry_Int_Tables_number 1
_symmetry_space_group_name_Hall 'P 1'
loop_
_atom_site_label
_atom_site_type_symbol
_atom_site_fract_x
_atom_site_fract_y
_atom_site_fract_z
_atom_site_occupancy
Be1 Be 0.0000 0.0000 0.0000 1
S1 S 0.5000 0.5000 0.0000 1
Br1 Br 0.5000 0.5000 0.5000 1
N1 N 0.0000 0.5000 0.5000 1
N2 N 0.5000 0.0000 0.5000 1
# Raw total energy, eV for the cell shown: -15.328